# 1
The following is a DFT calculation (GGA-PBE) of a relaxed structure of MgNp2Zn16.

Cell: 9.0331 9.0331 13.2794 Å, 90.00 90.00 120.00°
Space group R3m (No. 160, hexagonal axes)
Asymmetric unit:
Mg 0.0000 0.0000 0.0000 [3 per cell]
Np 0.0000 0.0000 0.2461 [3 per cell]
Np 0.0000 0.0000 0.5656 [3 per cell]
Zn 0.0000 0.0000 0.7937 [3 per cell]
Zn 0.9998 0.2980 0.9058 [18 per cell]
Zn 0.0029 0.5014 0.4061 [9 per cell]
Zn 0.0107 0.5054 0.0571 [9 per cell]
Zn 0.1707 0.3414 0.0891 [9 per cell]

Computed properties:
Energy of formation: -0.06 eV per atom


# 2
The following is a DFT calculation (GGA-PBE) of a relaxed structure of SrTmAl6.

Cell: 4.439 6.340 6.058 Å, 90.00 90.00 90.00°
Space group Pmm2 (No. 25)
Asymmetric unit:
Sr 0.000 0.000 0.000 [1 per cell]
Tm 0.500 0.500 0.233 [1 per cell]
Al 0.000 0.259 0.479 [2 per cell]
Al 0.000 0.500 0.880 [1 per cell]
Al 0.500 0.000 0.412 [1 per cell]
Al 0.500 0.284 0.750 [2 per cell]

Computed properties:
Energy of formation: -0.24 eV per atom


# 3
The following is a DFT calculation (GGA-PBE) of a relaxed structure of Pm6Si2SnSe3.

Cell: 18.694 4.251 8.624 Å, 90.00 103.81 90.00°
Space group C2/m (No. 12)
Asymmetric unit:
Pm 0.003 0.000 0.261 [4 per cell]
Pm 0.170 0.500 0.095 [4 per cell]
Pm 0.170 0.500 0.576 [4 per cell]
Si 0.167 0.000 0.334 [4 per cell]
Sn 0.000 0.500 0.000 [2 per cell]
Se 0.000 0.500 0.500 [2 per cell]
Se 0.166 0.000 0.832 [4 per cell]

Computed properties:
Formation energy from raw total energies: -15.5 eV per formula unit


# 4
The following is a DFT calculation (GGA-PBE) of a relaxed structure of Ce3Pb2Au.

Cell: 16.776 6.547 6.211 Å, 90.00 105.13 90.00°
Space group C2/c (No. 15)
Asymmetric unit:
Ce 0.000 0.161 0.250 [4 per cell]
Ce 0.157 0.391 0.571 [8 per cell]
Pb 0.164 0.109 0.057 [8 per cell]
Au 0.000 0.356 0.750 [4 per cell]

Computed properties:
Energy of formation: -0.40 eV per atom


# 5
The following is a DFT calculation (GGA-PBE) of a relaxed structure of LaAg3S.

Cell: 5.688 5.688 5.688 Å, 90.00 90.00 90.00°
Space group Pm-3m (No. 221)
Asymmetric unit:
La 0.000 0.000 0.000 [1 per cell]
Ag 0.000 0.000 0.500 [3 per cell]
S 0.500 0.500 0.500 [1 per cell]

Computed properties:
Formation energy from raw total energies: 6.1 eV per formula unit


# 6
The following is a DFT calculation (GGA-PBE) of a relaxed structure of Na2CuIr2S6.

Cell: 6.209 10.948 6.772 Å, 90.00 107.91 90.00°
Space group C2/m (No. 12)
Asymmetric unit:
Na 0.000 0.161 0.000 [4 per cell]
Cu 0.000 0.000 0.500 [2 per cell]
Ir 0.000 0.331 0.500 [4 per cell]
S 0.232 0.174 0.689 [8 per cell]
S 0.234 0.500 0.673 [4 per cell]

Computed properties:
Formation energy from raw total energies: -5.2 eV per formula unit


# 7
The following is a DFT calculation (GGA-PBE) of a relaxed structure of AgSb3P.

Cell: 5.211 5.211 5.211 Å, 90.00 90.00 90.00°
Space group Pm-3m (No. 221)
Asymmetric unit:
Ag 0.000 0.000 0.000 [1 per cell]
Sb 0.000 0.500 0.500 [3 per cell]
P 0.500 0.500 0.500 [1 per cell]

Computed properties:
Formation energy from raw total energies: 3.4 eV per formula unit


# 8
The following is a DFT calculation (GGA-PBE) of a relaxed structure of CuTe3Br.

Cell: 5.546 5.546 5.546 Å, 90.00 90.00 90.00°
Space group Pm-3m (No. 221)
Asymmetric unit:
Cu 0.000 0.000 0.000 [1 per cell]
Te 0.000 0.500 0.500 [3 per cell]
Br 0.500 0.500 0.500 [1 per cell]

Computed properties:
Formation energy from raw total energies: 5.5 eV per formula unit


# 9
The following is a DFT calculation (GGA-PBE) of a relaxed structure of TlCuAgF6.

Cell: 5.6956 5.6956 9.8541 Å, 90.00 90.00 120.00°
Space group P-31c (No. 163)
Asymmetric unit:
Tl 0.3333 0.6667 0.2500 [2 per cell]
Cu 0.3333 0.6667 0.7500 [2 per cell]
Ag 0.0000 0.0000 0.0000 [2 per cell]
F 0.0207 0.3674 0.6373 [12 per cell]

Computed properties:
Formation energy from raw total energies: -13.7 eV per formula unit


# 10
The following is a DFT calculation (GGA-PBE) of a relaxed structure of Sr2Mn2Ni15.

Cell: 8.4921 8.4921 12.3268 Å, 90.00 90.00 120.00°
Space group R-3m (No. 166, hexagonal axes)
Asymmetric unit:
Sr 0.0000 0.0000 0.1507 [6 per cell]
Mn 0.0000 0.0000 0.3973 [6 per cell]
Ni 0.0000 0.2859 0.5000 [18 per cell]
Ni 0.0000 0.5000 0.0000 [9 per cell]
Ni 0.0085 0.5043 0.3439 [18 per cell]

Computed properties:
Energy of formation: -0.03 eV per atom


# 11
The following is a DFT calculation (GGA-PBE) of a relaxed structure of K3RbH3.

Cell: 7.733 7.733 7.733 Å, 90.00 90.00 90.00°
Space group Pm-3n (No. 223)
Asymmetric unit:
K 0.000 0.250 0.500 [6 per cell]
Rb 0.000 0.000 0.000 [2 per cell]
H 0.000 0.500 0.250 [6 per cell]


# 12
The following is a DFT calculation (GGA-PBE) of a relaxed structure of RbAc2Te4.

Cell: 10.078 10.078 10.414 Å, 90.00 90.00 90.00°
Space group I-42d (No. 122)
Asymmetric unit:
Rb 0.000 0.000 0.000 [4 per cell]
Ac 0.131 0.750 0.625 [8 per cell]
Te 0.086 0.659 0.936 [16 per cell]

Computed properties:
Formation energy from raw total energies: -9.5 eV per formula unit


| no. | total magnetization (Bohr magnetons per cell) | raw total energy (eV per atom) |
| --- | --- | --- |
| 1 | 25.242 | -2.577 |
| 2 | 0.000 | -3.812 |
| 3 | 0.000 | -5.775 |
| 4 | 11.857 | -5.148 |
| 5 | 1.176 | -2.293 |
| 6 | 0.002 | -4.948 |
| 7 | 0.000 | -3.454 |
| 8 | 0.000 | -1.941 |
| 9 | 2.006 | -3.802 |
| 10 | 44.384 | -5.738 |
| 11 | 1.254 | -2.063 |
| 12 | 0.000 | -4.458 |